No. 1
# PuAgSeO5 PBE-GGA optimized geometry
# SG: No. 15
data_PuAgSeO5
_chemical_formula_sum 'Pu2 Ag2 Se2 O10'
_symmetry_space_group_name_H-M 'P 1'
_symmetry_Int_Tables_number 1
_symmetry_space_group_name_Hall 'P 1'
_cell_length_a 6.741
_cell_length_b 6.741
_cell_length_c 7.932
_cell_angle_alpha 97.59
_cell_angle_beta 97.59
_cell_angle_gamma 129.65
loop_
_atom_site_label
_atom_site_type_symbol
_atom_site_fract_x
_atom_site_fract_y
_atom_site_fract_z
Pu1 Pu 0.000 0.500 0.000
Pu2 Pu 0.500 0.000 0.500
Ag1 Ag 0.004 0.996 0.250
Ag2 Ag 0.996 0.004 0.750
Se1 Se 0.441 0.559 0.750
Se2 Se 0.559 0.441 0.250
O1 O 0.037 0.296 0.112
O2 O 0.190 0.810 0.250
O3 O 0.296 0.037 0.612
O4 O 0.310 0.592 0.568
O5 O 0.408 0.690 0.932
O6 O 0.592 0.310 0.068
O7 O 0.690 0.408 0.432
O8 O 0.704 0.963 0.388
O9 O 0.810 0.190 0.750
O10 O 0.963 0.704 0.888


No. 2
# PuAgSeO PBE-GGA optimized geometry
# SG: No. 166
data_PuAgSeO
_chemical_formula_sum 'Pu2 Ag2 Se2 O2'
_symmetry_space_group_name_H-M 'P 1'
_symmetry_Int_Tables_number 1
_symmetry_space_group_name_Hall 'P 1'
_cell_length_a 11.290
_cell_length_b 11.290
_cell_length_c 11.290
_cell_angle_alpha 20.63
_cell_angle_beta 20.63
_cell_angle_gamma 20.63
loop_
_atom_site_label
_atom_site_type_symbol
_atom_site_fract_x
_atom_site_fract_y
_atom_site_fract_z
Pu1 Pu 0.124 0.124 0.124
Pu2 Pu 0.876 0.876 0.876
Ag1 Ag 0.308 0.308 0.308
Ag2 Ag 0.692 0.692 0.692
Se1 Se 0.399 0.399 0.399
Se2 Se 0.601 0.601 0.601
O1 O 0.192 0.192 0.192
O2 O 0.808 0.808 0.808


No. 3
# PuSiAgO6 PBE-GGA optimized geometry
# SG: No. 149
data_PuSiAgO6
_chemical_formula_sum 'Pu1 Si1 Ag1 O6'
_symmetry_space_group_name_H-M 'P 1'
_symmetry_Int_Tables_number 1
_symmetry_space_group_name_Hall 'P 1'
_cell_length_a 5.136
_cell_length_b 5.136
_cell_length_c 5.117
_cell_angle_alpha 90.00
_cell_angle_beta 90.00
_cell_angle_gamma 120.00
loop_
_atom_site_label
_atom_site_type_symbol
_atom_site_fract_x
_atom_site_fract_y
_atom_site_fract_z
Pu1 Pu 0.000 0.000 0.000
Si1 Si 0.333 0.667 0.000
Ag1 Ag 0.667 0.333 0.500
O1 O 0.050 0.366 0.200
O2 O 0.050 0.684 0.800
O3 O 0.316 0.366 0.800
O4 O 0.316 0.950 0.200
O5 O 0.634 0.684 0.200
O6 O 0.634 0.950 0.800


E_form (uncorrected), respectively: -1.405, -1.600, -1.846 eV per atom.
Total magnetization, respectively: 5.95, 9.97, 0.98 μB per cell.